Below is crystalline Sr2CuRh at its relaxed geometry, with properties calculated at the PBE level.

Output
Energy relative to the elements, kcal/mol of atoms: 4.2
E_tot, eV per atom: -3.522
D(E_F), states/eV per atom: 0.36

a b c (Å): 5.085 5.085 5.085
angles (deg): 60.00 60.00 60.00
Fractional coordinates of all 4 atoms:
Sr1 0.000 0.000 0.000
Cu1 0.500 0.500 0.500
Sr2 0.250 0.250 0.250
Rh1 0.750 0.750 0.750


Below is crystalline NdLu2C at its relaxed geometry, with properties calculated at the PBE level.

Output
Energy relative to the elements, kcal/mol of atoms: -3.6
E_tot, eV per atom: -5.916
D(E_F), states/eV per atom: 1.04

a b c (Å): 3.467 3.467 9.872
angles (deg): 79.89 79.89 60.00
Last column: magnetic moment on the atom in μB.
Fractional coordinates of all 4 atoms:
Lu1 0.878 0.878 0.365  0.03
C1 0.500 0.500 0.500  0.00
Lu2 0.122 0.122 0.635  0.03
Nd1 0.000 0.000 0.000  0.16


Below is crystalline BeTcIr2 at its relaxed geometry, with properties calculated at the PBE level.

Output
Energy relative to the elements, kcal/mol of atoms: -4.1
E_tot, eV per atom: -8.131
D(E_F), states/eV per atom: 0.69

a b c (Å): 2.735 3.667 5.330
angles (deg): 90.00 90.00 90.00
Fractional coordinates of all 4 atoms:
Ir1 0.000 0.000 0.510
Tc1 0.500 0.500 0.250
Be1 0.500 0.500 0.750
Ir2 0.000 0.000 0.990


Below is crystalline CsBi3Pd at its relaxed geometry, with properties calculated at the PBE level.

Output
Energy relative to the elements, kcal/mol of atoms: 0.4
E_tot, eV per atom: -3.520
D(E_F), states/eV per atom: 1.11
ΔE to the lowest computed polymorph, kcal/mol of atoms: 6.70

a b c (Å): 5.621 5.621 5.621
angles (deg): 90.00 90.00 90.00
Fractional coordinates of all 5 atoms:
Bi1 0.000 0.500 0.000
Cs1 0.500 0.500 0.500
Bi2 0.500 0.000 0.000
Pd1 0.000 0.000 0.000
Bi3 0.000 0.000 0.500


Below is crystalline Sc2TlI at its relaxed geometry, with properties calculated at the PBE level.

Output
E_tot, eV per atom: -4.293
D(E_F), states/eV per atom: 0.79
Energy relative to the elements, uncorrected, eV per atom: -0.1482
ΔE to the lowest computed polymorph, kcal/mol of atoms: 0.59

a b c (Å): 10.129 10.129 10.129
angles (deg): 21.16 21.16 21.16
Last column: magnetic moment on the atom in μB.
Fractional coordinates of all 4 atoms:
Tl1 0.500 0.500 0.500  -0.01
I1 0.000 0.000 0.000  -0.01
Sc1 0.093 0.093 0.093  0.14
Sc2 0.907 0.907 0.907  0.14


Below is crystalline Zr3Br at its relaxed geometry, with properties calculated at the PBE level.

Output
E_tot, eV per atom: -6.853
D(E_F), states/eV per atom: 1.32
Energy relative to the elements, uncorrected, eV per atom: -0.0235
ΔE to the lowest computed polymorph, kcal/mol of atoms: 5.27

a b c (Å): 6.588 6.588 5.011
angles (deg): 90.00 90.00 120.01
Fractional coordinates of all 8 atoms:
Zr1 0.341 0.944 0.250
Zr2 0.659 0.056 0.750
Br1 0.629 0.629 0.750
Br2 0.371 0.371 0.250
Zr3 0.056 0.659 0.750
Zr4 0.180 0.180 0.750
Zr5 0.944 0.341 0.250
Zr6 0.820 0.820 0.250


Below is crystalline AgOs2PbC at its relaxed geometry, with properties calculated at the PBE level.

Output
Energy relative to the elements, kcal/mol of atoms: 83.9
E_tot, eV per atom: -4.010
D(E_F), states/eV per atom: 1.21

a b c (Å): 4.915 5.391 4.915
angles (deg): 90.00 90.00 90.00
Last column: magnetic moment on the atom in μB.
Fractional coordinates of all 5 atoms:
Pb1 0.000 0.500 0.000  -0.05
Ag1 0.000 0.000 0.000  0.12
C1 0.500 0.500 0.500  0.32
Os1 0.500 0.000 0.000  1.80
Os2 0.000 0.000 0.500  2.53


Below is crystalline Ho2Sc4Ge3H2 at its relaxed geometry, with properties calculated at the PBE level.

Output
E_tot, eV per atom: -5.690
D(E_F), states/eV per atom: 0.74

a b c (Å): 4.291 4.291 11.666
angles (deg): 100.60 100.60 90.00
Last column: magnetic moment on the atom in μB.
Fractional coordinates of all 11 atoms:
Sc1 0.921 0.421 0.842  0.33
H1 0.405 0.405 0.809  -0.01
Sc2 0.579 0.079 0.158  0.33
Sc3 0.421 0.921 0.842  0.33
Ge1 0.000 0.000 0.000  -0.02
H2 0.595 0.595 0.191  -0.01
Ho1 0.301 0.301 0.603  0.01
Ho2 0.699 0.699 0.397  0.01
Sc4 0.079 0.579 0.158  0.33
Ge2 0.831 0.831 0.662  -0.01
Ge3 0.169 0.169 0.338  -0.01


Below is crystalline YZnSi at its relaxed geometry, with properties calculated at the PBE level.

Output
E_tot, eV per atom: -5.029
D(E_F), states/eV per atom: 0.41
Energy relative to the elements, uncorrected, eV per atom: -0.6425

a b c (Å): 4.112 4.112 4.056
angles (deg): 90.00 90.00 120.00
Fractional coordinates of all 3 atoms:
Zn1 0.333 0.667 0.500
Si1 0.667 0.333 0.500
Y1 0.000 0.000 0.000


Below is crystalline PaCr5C4 at its relaxed geometry, with properties calculated at the PBE level.

Output
Energy relative to the elements, kcal/mol of atoms: 3.0
E_tot, eV per atom: -9.320
D(E_F), states/eV per atom: 0.80

a b c (Å): 3.069 5.989 6.895
angles (deg): 115.74 102.86 90.00
Last column: magnetic moment on the atom in μB.
Fractional coordinates of all 10 atoms:
Cr1 0.500 0.500 0.000  0.69
Cr2 0.827 0.074 0.655  0.06
C1 0.290 0.790 0.579  0.00
C2 0.000 0.292 0.000  -0.02
Cr3 0.173 0.926 0.345  0.06
C3 0.000 0.708 0.000  -0.02
C4 0.710 0.210 0.421  0.00
Cr4 0.827 0.581 0.655  0.06
Pa1 0.500 0.000 0.000  -0.01
Cr5 0.173 0.419 0.345  0.06


Below is crystalline La8Si3OsBr4 at its relaxed geometry, with properties calculated at the PBE level.

Output
E_tot, eV per atom: -5.658
D(E_F), states/eV per atom: 0.83
Energy relative to the elements, uncorrected, eV per atom: -1.0570

a b c (Å): 8.699 9.005 8.710
angles (deg): 118.97 119.96 90.00
Fractional coordinates of all 16 atoms:
Br1 0.000 0.000 0.000
Br2 0.000 0.000 0.500
Br3 0.500 0.000 0.500
La1 0.261 0.282 0.522
La2 0.750 0.706 0.978
Si1 0.000 0.500 0.500
Br4 0.500 0.000 0.000
La3 0.230 0.708 0.461
Si2 0.500 0.500 0.000
La4 0.250 0.294 0.022
Si3 0.500 0.500 0.500
La5 0.770 0.292 0.539
La6 0.228 0.706 0.978
La7 0.739 0.718 0.478
Os1 0.000 0.500 0.000
La8 0.772 0.294 0.022


Below is crystalline AcGa3CuRh at its relaxed geometry, with properties calculated at the PBE level.

Output
Energy relative to the elements, kcal/mol of atoms: -9.1
E_tot, eV per atom: -4.500
D(E_F), states/eV per atom: 0.41

a b c (Å): 6.605 6.411 6.804
angles (deg): 118.11 90.00 90.00
Fractional coordinates of all 12 atoms:
Rh1 0.750 0.895 0.789
Ac1 0.750 0.247 0.494
Ga1 0.500 0.218 0.000
Cu1 0.250 0.494 0.988
Ga2 0.750 0.699 0.398
Ga3 0.250 0.301 0.602
Rh2 0.250 0.105 0.211
Ga4 0.000 0.782 0.000
Ga5 0.000 0.218 0.000
Ac2 0.250 0.753 0.506
Cu2 0.750 0.506 0.012
Ga6 0.500 0.782 0.000


Below is crystalline La2GaCoN at its relaxed geometry, with properties calculated at the PBE level.

Output
E_tot, eV per atom: -6.343
D(E_F), states/eV per atom: 0.77
Energy relative to the elements, uncorrected, eV per atom: -0.6809
ΔE to the lowest computed polymorph, kcal/mol of atoms: 0.78

a b c (Å): 5.340 5.340 3.596
angles (deg): 90.00 90.00 90.00
Fractional coordinates of all 5 atoms:
La1 0.500 0.000 0.000
Co1 0.000 0.000 0.500
La2 0.000 0.500 0.000
Ga1 0.500 0.500 0.500
N1 0.000 0.000 0.000


Below is crystalline LiCu2As at its relaxed geometry, with properties calculated at the PBE level.

Output
Energy relative to the elements, kcal/mol of atoms: -2.9
E_tot, eV per atom: -3.815
D(E_F), states/eV per atom: 0.23

a b c (Å): 4.023 2.805 5.122
angles (deg): 74.12 90.00 90.00
Fractional coordinates of all 4 atoms:
Cu1 0.000 0.802 0.020
Li1 0.000 0.549 0.527
Cu2 0.500 0.204 0.215
As1 0.500 0.945 0.738


Below is crystalline La2TiN at its relaxed geometry, with properties calculated at the PBE level.

Output
E_tot, eV per atom: -6.735
D(E_F), states/eV per atom: 1.47
Energy relative to the elements, uncorrected, eV per atom: -0.2167

a b c (Å): 3.490 3.490 9.493
angles (deg): 79.41 79.41 60.00
Last column: magnetic moment on the atom in μB.
Fractional coordinates of all 4 atoms:
N1 0.500 0.500 0.500  0.01
La1 0.113 0.113 0.661  0.05
La2 0.887 0.887 0.339  0.05
Ti1 0.000 0.000 0.000  1.25


Below is crystalline Cs2LaCrCd at its relaxed geometry, with properties calculated at the PBE level.

Output
Energy relative to the elements, kcal/mol of atoms: 19.3
E_tot, eV per atom: -2.596
D(E_F), states/eV per atom: 1.12

a b c (Å): 6.858 5.215 6.858
angles (deg): 90.00 90.00 90.00
Last column: magnetic moment on the atom in μB.
Fractional coordinates of all 5 atoms:
La1 0.000 0.500 0.000  -0.20
Cd1 0.500 0.500 0.500  -0.03
Cs1 0.500 0.000 0.000  0.00
Cr1 0.000 0.000 0.000  2.99
Cs2 0.000 0.000 0.500  -0.01


Below is crystalline Sr2ScPt at its relaxed geometry, with properties calculated at the PBE level.

Output
Energy relative to the elements, kcal/mol of atoms: -9.0
E_tot, eV per atom: -4.324
D(E_F), states/eV per atom: 1.05
ΔE to the lowest computed polymorph, kcal/mol of atoms: 1.56

a b c (Å): 3.947 5.239 7.001
angles (deg): 68.10 90.00 90.00
Fractional coordinates of all 4 atoms:
Sr1 0.000 0.953 0.968
Sr2 0.500 0.258 0.359
Pt1 0.000 0.709 0.457
Sc1 0.500 0.580 0.716


Below is crystalline TlPt2Au2 at its relaxed geometry, with properties calculated at the PBE level.

Output
Energy relative to the elements, kcal/mol of atoms: 4.0
E_tot, eV per atom: -4.029
D(E_F), states/eV per atom: 0.76
ΔE to the lowest computed polymorph, kcal/mol of atoms: 2.91

a b c (Å): 3.850 3.850 7.386
angles (deg): 74.89 74.89 90.00
Fractional coordinates of all 5 atoms:
Tl1 0.000 0.000 0.000
Au1 0.601 0.601 0.798
Au2 0.399 0.399 0.202
Pt1 0.250 0.750 0.500
Pt2 0.750 0.250 0.500


Below is crystalline Sm2ThNi2 at its relaxed geometry, with properties calculated at the PBE level.

Output
Energy relative to the elements, kcal/mol of atoms: -7.4
E_tot, eV per atom: -6.007
D(E_F), states/eV per atom: 1.08

a b c (Å): 6.208 6.309 7.201
angles (deg): 99.55 90.00 119.47
Fractional coordinates of all 10 atoms:
Ni1 0.306 0.302 0.506
Sm1 0.759 0.308 0.653
Sm2 0.451 0.692 0.847
Th1 0.911 0.000 0.250
Sm3 0.241 0.692 0.347
Th2 0.089 0.000 0.750
Ni2 0.997 0.302 0.006
Ni3 0.003 0.698 0.994
Ni4 0.694 0.698 0.494
Sm4 0.549 0.308 0.153


Below is crystalline Ba3CeCd4 at its relaxed geometry, with properties calculated at the PBE level.

Output
Energy relative to the elements, kcal/mol of atoms: -5.8
E_tot, eV per atom: -2.173
D(E_F), states/eV per atom: 1.36

a b c (Å): 4.100 4.100 16.882
angles (deg): 90.00 90.00 90.00
Last column: magnetic moment on the atom in μB.
Fractional coordinates of all 8 atoms:
Cd1 0.000 0.000 0.101  0.00
Ce1 0.500 0.500 0.000  0.95
Ba1 0.500 0.500 0.763  -0.01
Ba2 0.500 0.500 0.237  -0.01
Cd2 0.000 0.000 0.899  0.00
Cd3 0.000 0.000 0.630  0.00
Ba3 0.500 0.500 0.500  0.00
Cd4 0.000 0.000 0.370  0.00


Below is crystalline MgRh at its relaxed geometry, with properties calculated at the PBE level.

Output
Energy relative to the elements, kcal/mol of atoms: -7.2
E_tot, eV per atom: -4.784
D(E_F), states/eV per atom: 0.71

a b c (Å): 5.545 5.545 6.217
angles (deg): 75.00 75.00 31.18
Fractional coordinates of all 6 atoms:
Rh1 0.960 0.960 0.586
Mg1 0.617 0.617 0.238
Mg2 0.339 0.339 0.348
Rh2 0.290 0.290 0.927
Rh3 0.982 0.982 0.016
Mg3 0.645 0.645 0.718


Below is crystalline BaAgIr2 at its relaxed geometry, with properties calculated at the PBE level.

Output
Energy relative to the elements, kcal/mol of atoms: 13.8
E_tot, eV per atom: -5.023
D(E_F), states/eV per atom: 1.29
ΔE to the lowest computed polymorph, kcal/mol of atoms: 14.12

a b c (Å): 2.909 4.395 6.744
angles (deg): 90.00 90.00 90.00
Fractional coordinates of all 4 atoms:
Ir1 0.000 0.000 0.434
Ir2 0.000 0.000 0.066
Ba1 0.500 0.500 0.750
Ag1 0.500 0.500 0.250